# SrBe3

A relaxed SrBe3 crystal (PBE, Alexandria via LeMat-Bulk).

Computed properties:
- Energy of formation from the pure elements: 605 meV per atom
- Total magnetization: 0.0000 μB per atom
- Crystal system: tetragonal

abc: 2.9296 2.9296 6.9776
angles: 90.00 90.00 90.00
Fractional positions:
Sr1 0.5000 0.5000 0.2500
Be1 0.0000 0.0000 0.9061
Be2 0.5000 0.5000 0.7500
Be3 0.0000 0.0000 0.5939



# Hf3BiRh

A relaxed Hf3BiRh crystal (PBE, Alexandria via LeMat-Bulk).

Computed properties:
- Energy of formation from the pure elements: 1617 meV per atom
- Total magnetization: 0.0000 μB per atom
- Crystal system: cubic

abc: 5.2497 5.2497 5.2497
angles: 90.00 90.00 90.00
Fractional positions:
Rh1 0.5000 0.5000 0.5000
Hf1 0.0000 0.5000 0.0000
Hf2 0.0000 0.0000 0.5000
Hf3 0.5000 0.0000 0.0000
Bi1 0.0000 0.0000 0.0000



# CsAcTe2

A relaxed CsAcTe2 crystal (PBE, Alexandria via LeMat-Bulk).

Computed properties:
- ΔE_f (raw): -1.489 eV/atom
- Total magnetization: 0.0000 μB per atom
- Crystal system: trigonal

abc: 4.8818 4.8818 9.5463
angles: 75.19 75.19 60.00
Fractional positions:
Cs1 0.4983 0.4983 0.5052
Ac1 0.6673 0.6673 0.9982
Te1 0.0677 0.0677 0.7968
Te2 0.2667 0.2667 0.1998



# Ti2Si2Te

A relaxed Ti2Si2Te crystal (PBE, Alexandria via LeMat-Bulk).

Computed properties:
- ΔE_f (raw): -0.526 eV/atom
- Total magnetization: 0.0000 μB per atom
- Crystal system: tetragonal

abc: 3.5407 3.5407 7.3684
angles: 76.10 76.10 90.00
Fractional positions:
Si1 0.7500 0.2500 0.5000
Si2 0.2500 0.7500 0.5000
Te1 0.0000 0.0000 0.0000
Ti1 0.3915 0.3915 0.2170
Ti2 0.6085 0.6085 0.7830



# Sb2AsPb

A relaxed Sb2AsPb crystal (PBE, Alexandria via LeMat-Bulk).

Computed properties:
- ΔE_f (raw): 0.245 eV/atom
- Total magnetization: 0.0000 μB per atom
- Crystal system: orthorhombic

abc: 3.3595 3.3595 10.1441
angles: 90.00 90.00 108.91
Fractional positions:
Pb1 0.5000 0.5000 0.7374
Sb1 0.0000 0.0000 0.0010
Sb2 0.5000 0.5000 0.2813
As1 0.0000 0.0000 0.4803